P | CsBi3Mo | PBE | optimized geometry

Geometry as POSCAR:
```
CsBi3Mo
1.0
5.5812 0.0000 0.0000
0.0000 5.5812 0.0000
0.0000 0.0000 5.5812
Cs Bi Mo
1 3 1
Cartesian
0.0000 0.0000 0.0000
0.0000 2.7906 2.7906
2.7906 0.0000 2.7906
2.7906 2.7906 0.0000
2.7906 2.7906 2.7906
```

Computed properties:
DOS at the Fermi energy = 4.2 states/eV/cell
volume = 34.77 Å³/atom
magnetic moment = 0.000 μB per formula unit



Q | CsBi3Mo | PBE | optimized geometry

Geometry as POSCAR:
```
CsBi3Mo
1.0
6.0166 0.0000 0.0000
0.0000 6.0166 0.0000
0.0000 0.0000 6.0166
Cs Bi Mo
1 3 1
Cartesian
0.0000 0.0000 0.0000
0.0000 0.0000 3.0083
0.0000 3.0083 0.0000
3.0083 0.0000 0.0000
3.0083 3.0083 3.0083
```

Computed properties:
DOS at the Fermi energy = 26.7 states/eV/cell
volume = 43.56 Å³/atom
magnetic moment = 0.000 μB per formula unit



The winner here is P, beating the second structure by 217.4 kJ/mol of atoms.



P | CsBiSN2 | PBE | optimized geometry

Geometry as POSCAR:
```
CsBiSN2
1.0
4.8592 0.0000 0.0000
0.0000 4.8592 0.0000
0.0000 0.0000 5.4455
Cs Bi S N
1 1 1 2
Cartesian
0.0000 0.0000 0.0000
2.4296 2.4296 2.7227
2.4296 2.4296 0.0000
0.0000 2.4296 2.7227
2.4296 0.0000 2.7227
```

Computed properties:
DOS at the Fermi energy = 1.7 states/eV/cell
volume = 25.72 Å³/atom
magnetic moment = 3.639 μB per formula unit



Q | CsBiSN2 | PBE | optimized geometry

Geometry as POSCAR:
```
CsBiSN2
1.0
4.3798 0.0000 0.0000
0.0000 4.3798 0.0000
0.0000 0.0000 6.2461
Cs Bi S N
1 1 1 2
Cartesian
0.0000 0.0000 0.0000
2.1899 2.1899 3.1230
0.0000 0.0000 3.1230
0.0000 2.1899 0.0000
2.1899 0.0000 0.0000
```

Computed properties:
DOS at the Fermi energy = 2.0 states/eV/cell
volume = 23.96 Å³/atom
magnetic moment = 1.149 μB per formula unit



The winner here is P, beating the second structure by 107.3 kJ/mol of atoms.



P | CsBiS2N | PBE | optimized geometry

Geometry as POSCAR:
```
CsBiS2N
1.0
5.6176 0.0000 0.0000
0.0000 5.6176 0.0000
0.0000 0.0000 4.3134
Cs Bi S N
1 1 2 1
Cartesian
0.0000 0.0000 0.0000
2.8088 2.8088 2.1567
0.0000 2.8088 0.0000
2.8088 0.0000 0.0000
0.0000 0.0000 2.1567
```

Computed properties:
DOS at the Fermi energy = 9.0 states/eV/cell
volume = 27.22 Å³/atom
magnetic moment = 0.000 μB per formula unit



Q | CsBiS2N | PBE | optimized geometry

Geometry as POSCAR:
```
CsBiS2N
1.0
5.4123 0.0000 0.0000
0.0000 5.4123 0.0000
0.0000 0.0000 4.8621
Cs Bi S N
1 1 2 1
Cartesian
0.0000 0.0000 0.0000
2.7061 2.7061 2.4311
0.0000 2.7061 2.4311
2.7061 0.0000 2.4311
2.7061 2.7061 0.0000
```

Computed properties:
DOS at the Fermi energy = 3.0 states/eV/cell
volume = 28.48 Å³/atom
magnetic moment = 2.283 μB per formula unit



The winner here is Q, beating the second structure by 129.2 kJ/mol of atoms.



P | Cs3NaBi | PBE | optimized geometry

Geometry as POSCAR:
```
Cs3NaBi
1.0
7.5969 0.0000 0.0000
0.0000 7.5969 0.0000
0.0000 0.0000 7.5969
Cs Na Bi
3 1 1
Cartesian
0.0000 0.0000 3.7984
0.0000 3.7984 0.0000
3.7984 0.0000 0.0000
3.7984 3.7984 3.7984
0.0000 0.0000 0.0000
```

Computed properties:
DOS at the Fermi energy = 7.3 states/eV/cell
volume = 87.69 Å³/atom
magnetic moment = 1.078 μB per formula unit



Q | Cs3NaBi | PBE | optimized geometry

Geometry as POSCAR:
```
Cs3NaBi
1.0
-7.2145 4.6168 4.3408
7.2145 -4.6168 4.3408
7.2145 4.6168 -4.3408
Cs Na Bi
6 2 2
Cartesian
3.6072 3.8280 -2.1152
0.2303 2.2889 0.0000
6.9842 2.2889 0.0000
3.6072 0.7888 2.2257
0.2303 2.3279 4.3408
6.9842 2.3279 4.3408
10.8217 2.2964 0.0467
-3.6072 2.3204 4.3875
-3.6072 4.5894 2.2051
3.6072 4.6442 2.2051
```

Computed properties:
DOS at the Fermi energy = 3.9 states/eV/cell
volume = 57.83 Å³/atom
magnetic moment = 0.637 μB per formula unit



The winner here is Q, beating the second structure by 9.2 kJ/mol of atoms.



P | CsNa2Bi2 | PBE | optimized geometry

Geometry as POSCAR:
```
CsNa2Bi2
1.0
7.0550 -2.6978 0.0000
7.0550 2.6978 0.0000
-0.1322 0.0000 6.3369
Cs Na Bi
1 2 2
Cartesian
0.0000 0.0000 0.0000
4.2668 0.0000 3.9281
9.7109 0.0000 2.4088
4.0991 0.0000 0.6889
9.8786 0.0000 5.6480
```

Computed properties:
DOS at the Fermi energy = 1.6 states/eV/cell
volume = 48.24 Å³/atom
magnetic moment = 0.000 μB per formula unit



Q | CsNa2Bi2 | PBE | optimized geometry

Geometry as POSCAR:
```
CsNa2Bi2
1.0
10.0937 0.0000 0.0000
0.0000 10.0937 0.0000
0.0000 0.0000 3.4276
Cs Na Bi
2 4 4
Cartesian
0.0000 0.0000 0.0000
5.0469 5.0469 0.0000
1.2603 3.7866 0.0000
3.7866 8.8334 0.0000
6.3071 1.2603 0.0000
8.8334 6.3071 0.0000
1.6734 6.7202 1.7138
3.3735 1.6734 1.7138
6.7202 8.4204 1.7138
8.4204 3.3735 1.7138
```

Computed properties:
DOS at the Fermi energy = 5.8 states/eV/cell
volume = 34.92 Å³/atom
magnetic moment = 0.000 μB per formula unit



The winner here is Q, beating the second structure by 6.3 kJ/mol of atoms.



P | CsNa2Bi2 | PBE | optimized geometry

Geometry as POSCAR:
```
CsNa2Bi2
1.0
-2.7879 2.7879 6.5100
2.7879 -2.7879 6.5100
2.7879 2.7879 -6.5100
Cs Na Bi
1 2 2
Cartesian
0.0000 0.0000 0.0000
0.0000 0.0000 4.7196
0.0000 0.0000 8.3005
2.7879 0.0000 3.2550
0.0000 2.7879 3.2550
```

Computed properties:
DOS at the Fermi energy = 2.3 states/eV/cell
volume = 40.48 Å³/atom
magnetic moment = 0.000 μB per formula unit



Q | CsNa2Bi2 | PBE | optimized geometry

Geometry as POSCAR:
```
CsNa2Bi2
1.0
-2.8138 2.8138 6.3993
2.8138 -2.8138 6.3993
2.8138 2.8138 -6.3993
Cs Na Bi
1 2 2
Cartesian
0.0000 0.0000 0.0000
2.8138 0.0000 3.1996
0.0000 2.8138 3.1996
0.0000 0.0000 4.9136
0.0000 0.0000 7.8849
```

Computed properties:
DOS at the Fermi energy = 4.2 states/eV/cell
volume = 40.53 Å³/atom
magnetic moment = 0.000 μB per formula unit



R | CsNa2Bi2 | PBE | optimized geometry

Geometry as POSCAR:
```
CsNa2Bi2
1.0
10.0693 0.0000 0.0000
0.0000 10.0693 0.0000
0.0000 0.0000 3.6258
Cs Na Bi
2 4 4
Cartesian
0.0000 0.0000 0.0000
5.0347 5.0347 0.0000
1.5919 3.4428 1.8129
3.4428 8.4774 1.8129
6.6265 1.5919 1.8129
8.4774 6.6265 1.8129
1.2469 6.2815 0.0000
3.7878 1.2469 0.0000
6.2815 8.8224 0.0000
8.8224 3.7878 0.0000
```

Computed properties:
DOS at the Fermi energy = 3.2 states/eV/cell
volume = 36.76 Å³/atom
magnetic moment = 0.000 μB per formula unit



The winner here is Q, beating the second structure by 5.7 kJ/mol of atoms.



P | CsNa3Bi | PBE | optimized geometry

Geometry as POSCAR:
```
CsNa3Bi
1.0
6.2500 0.0000 0.0000
0.0000 6.2500 0.0000
0.0000 0.0000 6.2500
Cs Na Bi
1 3 1
Cartesian
0.0000 0.0000 0.0000
0.0000 3.1250 3.1250
3.1250 0.0000 3.1250
3.1250 3.1250 0.0000
3.1250 3.1250 3.1250
```

Computed properties:
DOS at the Fermi energy = 4.0 states/eV/cell
volume = 48.83 Å³/atom
magnetic moment = 0.000 μB per formula unit



Q | CsNa3Bi | PBE | optimized geometry

Geometry as POSCAR:
```
CsNa3Bi
1.0
-3.9804 6.1648 4.7209
3.9804 -6.1648 4.7209
3.9804 6.1648 -4.7209
Cs Na Bi
2 6 2
Cartesian
0.0000 3.0824 1.0492
3.9804 3.0824 3.6718
3.9804 3.0824 -0.7387
1.9902 5.5038 -2.3605
1.9902 -0.6610 2.3605
-1.9902 6.8258 2.3605
1.9902 6.8258 2.3605
0.0000 3.0824 5.4596
3.9804 0.0000 0.0000
0.0000 0.0000 4.7209
```

Computed properties:
DOS at the Fermi energy = 2.8 states/eV/cell
volume = 46.34 Å³/atom
magnetic moment = 0.000 μB per formula unit



The winner here is Q, beating the second structure by 2.4 kJ/mol of atoms.



P | CsNaBi3 | PBE | optimized geometry

Geometry as POSCAR:
```
CsNaBi3
1.0
6.4309 0.0000 0.0000
0.0000 6.4309 0.0000
0.0000 0.0000 6.4309
Cs Na Bi
1 1 3
Cartesian
0.0000 0.0000 0.0000
3.2155 3.2155 3.2155
0.0000 0.0000 3.2155
0.0000 3.2155 0.0000
3.2155 0.0000 0.0000
```

Computed properties:
DOS at the Fermi energy = 6.3 states/eV/cell
volume = 53.19 Å³/atom
magnetic moment = 0.000 μB per formula unit



Q | CsNaBi3 | PBE | optimized geometry

Geometry as POSCAR:
```
CsNaBi3
1.0
5.8050 0.0000 0.0000
0.0000 5.8050 0.0000
0.0000 0.0000 5.8050
Cs Na Bi
1 1 3
Cartesian
0.0000 0.0000 0.0000
2.9025 2.9025 2.9025
0.0000 2.9025 2.9025
2.9025 0.0000 2.9025
2.9025 2.9025 0.0000
```

Computed properties:
DOS at the Fermi energy = 3.5 states/eV/cell
volume = 39.12 Å³/atom
magnetic moment = 0.000 μB per formula unit



The winner here is Q, beating the second structure by 76.1 kJ/mol of atoms.



P | CsNaTlBi | PBE | optimized geometry

Geometry as POSCAR:
```
CsNaTlBi
1.0
0.0000 4.1991 4.1991
4.1991 0.0000 4.1991
4.1991 4.1991 0.0000
Cs Na Tl Bi
1 1 1 1
Cartesian
0.0000 0.0000 0.0000
2.0995 2.0995 2.0995
6.2986 6.2986 6.2986
4.1991 4.1991 4.1991
```

Computed properties:
DOS at the Fermi energy = 1.7 states/eV/cell
volume = 37.02 Å³/atom
magnetic moment = 0.000 μB per formula unit



Q | CsNaTlBi | PBE | optimized geometry

Geometry as POSCAR:
```
CsNaTlBi
1.0
2.6887 1.5523 6.9264
-2.6887 1.5523 6.9264
0.0000 -3.1047 6.9264
Cs Na Tl Bi
1 1 1 1
Cartesian
0.0000 0.0000 0.0000
0.0000 0.0000 10.8563
0.0000 0.0000 16.4419
0.0000 0.0000 4.1900
```

Computed properties:
volume = 43.36 Å³/atom
magnetic moment = 0.000 μB per formula unit



The winner here is Q, beating the second structure by 7.0 kJ/mol of atoms.



P | CsNdBi2 | PBE | optimized geometry

Geometry as POSCAR:
```
CsNdBi2
1.0
4.3714 0.0000 0.0000
0.0000 4.3714 0.0000
0.0000 0.0000 8.3599
Cs Nd Bi
1 1 2
Cartesian
0.0000 0.0000 0.0000
0.0000 0.0000 4.1799
2.1857 2.1857 2.6473
2.1857 2.1857 5.7126
```

Computed properties:
DOS at the Fermi energy = 2.2 states/eV/cell
volume = 39.94 Å³/atom
magnetic moment = 0.000 μB per formula unit



Q | CsNdBi2 | PBE | optimized geometry

Geometry as POSCAR:
```
CsNdBi2
1.0
2.3352 1.3482 9.4155
-2.3352 1.3482 9.4155
0.0000 -2.6964 9.4155
Cs Nd Bi
1 1 2
Cartesian
0.0000 0.0000 0.0000
0.0000 0.0000 14.1232
0.0000 0.0000 6.5099
0.0000 0.0000 21.7365
```

Computed properties:
DOS at the Fermi energy = 3.1 states/eV/cell
volume = 44.46 Å³/atom
magnetic moment = 0.000 μB per formula unit



The winner here is P, beating the second structure by 15.7 kJ/mol of atoms.



P | Cs2NiBi | PBE | optimized geometry

Geometry as POSCAR:
```
Cs2NiBi
1.0
0.0000 4.3361 4.3361
4.3361 0.0000 4.3361
4.3361 4.3361 0.0000
Cs Ni Bi
2 1 1
Cartesian
2.1681 2.1681 2.1681
6.5042 6.5042 6.5042
0.0000 0.0000 0.0000
4.3361 4.3361 4.3361
```

Computed properties:
DOS at the Fermi energy = 5.0 states/eV/cell
volume = 40.76 Å³/atom
magnetic moment = 1.908 μB per formula unit



Q | Cs2NiBi | PBE | optimized geometry

Geometry as POSCAR:
```
Cs2NiBi
1.0
-6.7285 6.7285 2.4677
6.7285 -6.7285 2.4677
6.7285 6.7285 -2.4677
Cs Ni Bi
4 2 2
Cartesian
-0.9228 3.3642 0.6169
3.3642 5.8057 1.8507
0.9228 10.0927 0.6169
-3.3642 7.6513 1.8507
0.0000 0.0000 0.0000
0.0000 6.7285 1.2338
6.7285 0.0000 1.2338
0.0000 0.0000 2.4677
```

Computed properties:
DOS at the Fermi energy = 7.1 states/eV/cell
volume = 55.86 Å³/atom
magnetic moment = 0.000 μB per formula unit



The winner here is Q, beating the second structure by 60.2 kJ/mol of atoms.



P | Cs4BiO4 | PBE | optimized geometry

Geometry as POSCAR:
```
Cs4BiO4
1.0
-4.7030 4.7030 3.0402
4.7030 -4.7030 3.0402
4.7030 4.7030 -3.0402
Cs Bi O
4 1 4
Cartesian
6.5218 1.1291 0.0000
1.1291 2.8843 0.0000
3.5739 1.8188 3.0402
-1.8188 3.5739 3.0402
0.0000 0.0000 3.0402
4.0393 2.6017 0.0000
2.1013 -0.6638 3.0402
2.6017 5.3668 0.0000
0.6638 2.1013 3.0402
```

Computed properties:
DOS at the Fermi energy = 1.6 states/eV/cell
volume = 29.89 Å³/atom
magnetic moment = 0.987 μB per formula unit



Q | Cs4BiO4 | PBE | optimized geometry

Geometry as POSCAR:
```
Cs4BiO4
1.0
8.5322 0.0000 0.0000
0.0000 8.5322 0.0000
0.0000 0.0000 6.9110
Cs Bi O
8 2 8
Cartesian
0.3022 2.1331 0.9578
2.1331 0.3022 4.4133
2.1331 3.9639 4.4133
3.9639 2.1331 0.9578
4.5683 6.3992 5.9532
6.3992 4.5683 2.4977
6.3992 8.2300 2.4977
8.2300 6.3992 5.9532
2.1331 6.3992 1.7278
6.3992 2.1331 5.1833
0.3975 6.3992 3.0307
2.1331 4.6636 0.4248
2.1331 8.1347 0.4248
3.8686 6.3992 3.0307
4.6636 2.1331 3.8803
6.3992 0.3975 6.4862
6.3992 3.8686 6.4862
8.1347 2.1331 3.8803
```

Computed properties:
DOS at the Fermi energy = 4.3 states/eV/cell
volume = 27.95 Å³/atom
magnetic moment = 1.014 μB per formula unit



The winner here is Q, beating the second structure by 9.9 kJ/mol of atoms.